{
  "formula": "K2CaMnF6",
  "functional": "GGA+U",
  "state": "optimized geometry",
  "lattice_angstrom": [[6.169, 0.000, 0.000], [0.000, 6.161, 0.000], [0.000, 0.000, 8.750]],
  "species": ["Ca", "Ca", "F", "F", "K", "F", "F", "K", "F", "Mn", "K", "F", "F", "F", "Mn", "F", "F", "K", "F", "F"],
  "frac_coords": [[0.000, 0.750, 0.500], [0.500, 0.250, 0.000], [0.743, 0.494, 0.500], [0.243, 0.506, 0.000], [0.000, 0.250, 0.750], [0.743, 0.006, 0.500], [0.757, 0.994, 0.000], [0.500, 0.750, 0.750], [0.500, 0.250, 0.255], [0.000, 0.750, 0.000], [0.500, 0.750, 0.250], [0.257, 0.494, 0.500], [0.000, 0.750, 0.755], [0.257, 0.006, 0.500], [0.500, 0.250, 0.500], [0.757, 0.506, 0.000], [0.000, 0.750, 0.245], [0.000, 0.250, 0.250], [0.243, 0.994, 0.000], [0.500, 0.250, 0.745]],
  "m_tot_mub_per_atom": 0.500,
  "mass_density_g_cm3": 2.87,
  "e_tot_ev_per_atom": -5.403
}